Entry a
Computed, not measured: a relaxed structure of ReP2SO at the PBE level of DFT.

It has space group P4/mmm (No. 123), with a = 4.724 Å, b = 4.724 Å, c = 3.732 Å, α = 90.00°, β = 90.00° and γ = 90.00°. The inequivalent atoms are Re at (0.000, 0.000, 0.000), P at (0.000, 0.500, 0.000), S at (0.500, 0.500, 0.500) and O at (0.000, 0.000, 0.500).

Its density of states at the Fermi level is 0.4036 states/eV per atom. The crystal system is tetragonal. The spin magnetization comes out at 0.000 μB per cell.

=====

Entry b
Computed, not measured: a relaxed structure of ReP2SO at the PBE level of DFT.

It has space group P4/mmm (No. 123), with a = 3.925 Å, b = 3.925 Å, c = 4.283 Å, α = 90.00°, β = 90.00° and γ = 90.00°. The inequivalent atoms are Re at (0.000, 0.000, 0.000), P at (0.000, 0.500, 0.500), S at (0.500, 0.500, 0.000) and O at (0.500, 0.500, 0.500).

Its density of states at the Fermi level is 0.7371 states/eV per atom. The crystal system is tetragonal. The spin magnetization comes out at 0.669 μB per cell.

=====

Entry c
Computed, not measured: a relaxed structure of ReP2SO at the PBE level of DFT.

It has space group P4/mmm (No. 123), with a = 4.532 Å, b = 4.532 Å, c = 3.237 Å, α = 90.00°, β = 90.00° and γ = 90.00°. The inequivalent atoms are Re at (0.000, 0.000, 0.000), P at (0.000, 0.500, 0.500), S at (0.500, 0.500, 0.500) and O at (0.500, 0.500, 0.000).

Its density of states at the Fermi level is 0.6154 states/eV per atom. The crystal system is tetragonal. The spin magnetization comes out at 0.753 μB per cell.

=====

entry a takes first place; second place is 685 meV/atom up.

=====

Entry a
Computed, not measured: a relaxed structure of RePS2O at the PBE level of DFT.

It has space group P4/mmm (No. 123), with a = 4.471 Å, b = 4.471 Å, c = 4.766 Å, α = 90.00°, β = 90.00° and γ = 90.00°. The inequivalent atoms are Re at (0.000, 0.000, 0.000), P at (0.000, 0.000, 0.500), S at (0.000, 0.500, 0.000) and O at (0.500, 0.500, 0.500).

Its density of states at the Fermi level is 1.1202 states/eV per atom. The crystal system is tetragonal. The spin magnetization comes out at 0.000 μB per cell.

=====

Entry b
Computed, not measured: a relaxed structure of RePS2O at the PBE level of DFT.

It has space group P4/mmm (No. 123), with a = 4.155 Å, b = 4.155 Å, c = 3.882 Å, α = 90.00°, β = 90.00° and γ = 90.00°. The inequivalent atoms are Re at (0.000, 0.000, 0.000), P at (0.500, 0.500, 0.000), S at (0.000, 0.500, 0.500) and O at (0.500, 0.500, 0.500).

Its density of states at the Fermi level is 0.5149 states/eV per atom. The crystal system is tetragonal. The spin magnetization comes out at 0.000 μB per cell.

=====

entry a takes first place; second place is 201 meV/atom up.

=====

Entry a
Computed, not measured: a relaxed structure of ScReP2O at the PBE level of DFT.

It has space group P4/mmm (No. 123), with a = 4.985 Å, b = 4.985 Å, c = 3.781 Å, α = 90.00°, β = 90.00° and γ = 90.00°. The inequivalent atoms are Sc at (0.000, 0.000, 0.000), Re at (0.500, 0.500, 0.500), P at (0.000, 0.500, 0.000) and O at (0.000, 0.000, 0.500).

Its density of states at the Fermi level is 0.7552 states/eV per atom. The crystal system is tetragonal. The spin magnetization comes out at 2.719 μB per cell.

=====

Entry b
Computed, not measured: a relaxed structure of ScReP2O at the PBE level of DFT.

It has space group P4/mmm (No. 123), with a = 4.806 Å, b = 4.806 Å, c = 3.713 Å, α = 90.00°, β = 90.00° and γ = 90.00°. The inequivalent atoms are Sc at (0.000, 0.000, 0.000), Re at (0.500, 0.500, 0.500), P at (0.000, 0.500, 0.500) and O at (0.500, 0.500, 0.000).

Its density of states at the Fermi level is 0.7559 states/eV per atom. The crystal system is tetragonal. The spin magnetization comes out at 0.007 μB per cell.

=====

entry b takes first place; second place is 966 meV/atom up.

=====

Entry a
Computed, not measured: a relaxed structure of ReP2SeO at the PBE level of DFT.

It has space group P4/mmm (No. 123), with a = 4.713 Å, b = 4.713 Å, c = 3.536 Å, α = 90.00°, β = 90.00° and γ = 90.00°. The inequivalent atoms are Re at (0.000, 0.000, 0.000), P at (0.000, 0.500, 0.500), Se at (0.500, 0.500, 0.500) and O at (0.500, 0.500, 0.000).

Its density of states at the Fermi level is 0.8077 states/eV per atom. The crystal system is tetragonal. The spin magnetization comes out at 1.642 μB per cell.

=====

Entry b
Computed, not measured: a relaxed structure of ReP2SeO at the PBE level of DFT.

It has space group P4/mmm (No. 123), with a = 4.764 Å, b = 4.764 Å, c = 3.746 Å, α = 90.00°, β = 90.00° and γ = 90.00°. The inequivalent atoms are Re at (0.000, 0.000, 0.000), P at (0.000, 0.500, 0.000), Se at (0.500, 0.500, 0.500) and O at (0.000, 0.000, 0.500).

Its density of states at the Fermi level is 0.3709 states/eV per atom. The crystal system is tetragonal. The spin magnetization comes out at 0.000 μB per cell.

=====

entry b takes first place; second place is 1124 meV/atom up.

=====

Entry a
Computed, not measured: a relaxed structure of ReSiPO2 at the PBE level of DFT.

It has space group P4/mmm (No. 123), with a = 3.779 Å, b = 3.779 Å, c = 5.133 Å, α = 90.00°, β = 90.00° and γ = 90.00°. The inequivalent atoms are Re at (0.000, 0.000, 0.000), Si at (0.500, 0.500, 0.500), P at (0.000, 0.000, 0.500) and O at (0.000, 0.500, 0.000).

Its density of states at the Fermi level is 0.5931 states/eV per atom. The crystal system is tetragonal. The spin magnetization comes out at 0.000 μB per cell.

=====

Entry b
Computed, not measured: a relaxed structure of ReSiPO2 at the PBE level of DFT.

It has space group P4/mmm (No. 123), with a = 3.328 Å, b = 3.328 Å, c = 7.231 Å, α = 90.00°, β = 90.00° and γ = 90.00°. The inequivalent atoms are Re at (0.000, 0.000, 0.000), Si at (0.500, 0.500, 0.500), P at (0.500, 0.500, 0.000) and O at (0.000, 0.500, 0.500).

Its density of states at the Fermi level is 0.5744 states/eV per atom. The crystal system is tetragonal. The spin magnetization comes out at 1.136 μB per cell.

=====

entry b takes first place; second place is 39 meV/atom up.

=====

Entry a
Computed, not measured: a relaxed structure of SrRePO2 at the PBE level of DFT.

It has space group P4/mmm (No. 123), with a = 4.069 Å, b = 4.069 Å, c = 6.469 Å, α = 90.00°, β = 90.00° and γ = 90.00°. The inequivalent atoms are Sr at (0.000, 0.000, 0.000), Re at (0.500, 0.500, 0.500), P at (0.000, 0.000, 0.500) and O at (0.000, 0.500, 0.000).

Its density of states at the Fermi level is 0.6252 states/eV per atom. The crystal system is tetragonal. The spin magnetization comes out at 3.961 μB per cell.

=====

Entry b
Computed, not measured: a relaxed structure of SrRePO2 at the PBE level of DFT.

It has space group P4/mmm (No. 123), with a = 4.032 Å, b = 4.032 Å, c = 4.799 Å, α = 90.00°, β = 90.00° and γ = 90.00°. The inequivalent atoms are Sr at (0.000, 0.000, 0.000), Re at (0.500, 0.500, 0.500), P at (0.500, 0.500, 0.000) and O at (0.000, 0.500, 0.500).

Its density of states at the Fermi level is 0.5867 states/eV per atom. The crystal system is tetragonal. The spin magnetization comes out at 0.105 μB per cell.

=====

entry b takes first place; second place is 2089 meV/atom up.

=====

Entry a
Computed, not measured: a relaxed structure of TaRePO2 at the PBE level of DFT.

It has space group P4/mmm (No. 123), with a = 3.729 Å, b = 3.729 Å, c = 5.578 Å, α = 90.00°, β = 90.00° and γ = 90.00°. The inequivalent atoms are Ta at (0.000, 0.000, 0.000), Re at (0.500, 0.500, 0.500), P at (0.500, 0.500, 0.000) and O at (0.000, 0.500, 0.500).

Its density of states at the Fermi level is 0.6474 states/eV per atom. The crystal system is tetragonal. The spin magnetization comes out at 1.999 μB per cell.

=====

Entry b
Computed, not measured: a relaxed structure of TaRePO2 at the PBE level of DFT.

It has space group P4/mmm (No. 123), with a = 3.835 Å, b = 3.835 Å, c = 5.433 Å, α = 90.00°, β = 90.00° and γ = 90.00°. The inequivalent atoms are Ta at (0.000, 0.000, 0.000), Re at (0.500, 0.500, 0.500), P at (0.000, 0.000, 0.500) and O at (0.000, 0.500, 0.000).

Its density of states at the Fermi level is 0.3517 states/eV per atom. The crystal system is tetragonal. The spin magnetization comes out at 3.721 μB per cell.

=====

entry b takes first place; second place is 315 meV/atom up.

=====

Entry a
Computed, not measured: a relaxed structure of TaReP2O at the PBE level of DFT.

It has space group P4/mmm (No. 123), with a = 4.911 Å, b = 4.911 Å, c = 3.777 Å, α = 90.00°, β = 90.00° and γ = 90.00°. The inequivalent atoms are Ta at (0.000, 0.000, 0.000), Re at (0.500, 0.500, 0.500), P at (0.000, 0.500, 0.000) and O at (0.000, 0.000, 0.500).

Its density of states at the Fermi level is 0.4543 states/eV per atom. The crystal system is tetragonal. The spin magnetization comes out at 3.467 μB per cell.

=====

Entry b
Computed, not measured: a relaxed structure of TaReP2O at the PBE level of DFT.

It has space group P4/mmm (No. 123), with a = 4.783 Å, b = 4.783 Å, c = 3.625 Å, α = 90.00°, β = 90.00° and γ = 90.00°. The inequivalent atoms are Ta at (0.000, 0.000, 0.000), Re at (0.500, 0.500, 0.500), P at (0.000, 0.500, 0.500) and O at (0.500, 0.500, 0.000).

Its density of states at the Fermi level is 1.1095 states/eV per atom. The crystal system is tetragonal. The spin magnetization comes out at 1.021 μB per cell.

=====

entry b takes first place; second place is 48 meV/atom up.

=====

Entry a
Computed, not measured: a relaxed structure of ReTePO2 at the PBE level of DFT.

It has space group P4/mmm (No. 123), with a = 3.923 Å, b = 3.923 Å, c = 5.546 Å, α = 90.00°, β = 90.00° and γ = 90.00°. The inequivalent atoms are Re at (0.000, 0.000, 0.000), Te at (0.500, 0.500, 0.500), P at (0.500, 0.500, 0.000) and O at (0.000, 0.500, 0.500).

Its density of states at the Fermi level is 0.3718 states/eV per atom. The crystal system is tetragonal. The spin magnetization comes out at 4.178 μB per cell.

=====

Entry b
Computed, not measured: a relaxed structure of ReTePO2 at the PBE level of DFT.

It has space group P4/mmm (No. 123), with a = 3.810 Å, b = 3.810 Å, c = 5.517 Å, α = 90.00°, β = 90.00° and γ = 90.00°. The inequivalent atoms are Re at (0.000, 0.000, 0.000), Te at (0.500, 0.500, 0.500), P at (0.000, 0.000, 0.500) and O at (0.000, 0.500, 0.000).

Its density of states at the Fermi level is 0.4807 states/eV per atom. The crystal system is tetragonal. The spin magnetization comes out at 0.000 μB per cell.

=====

entry b takes first place; second place is 1130 meV/atom up.